Below is a geometry-optimized LaNdBeN2 structure, with properties calculated at the PBE level.

Cell and atoms, written as POSCAR:
```
LaNdBeN2
1.0
5.1346 0.0000 0.0000
0.0000 5.2791 0.6349
0.0000 -0.8226 6.8390
La Nd Be N
2 2 2 4
Direct
0.0001 0.5000 0.7500 La
0.9999 0.5000 0.2500 La
0.4999 0.0000 0.2500 Nd
0.5001 0.0000 0.7500 Nd
0.0000 0.0000 0.0000 Be
0.0000 0.0000 0.5000 Be
0.7879 0.7909 0.0000 N
0.7879 0.2091 0.5000 N
0.2121 0.7909 0.5000 N
0.2121 0.2091 0.0000 N
```

Crystal system: orthorhombic
Space-group type: Pccm
Electronic total energy, eV per atom: -6.853
Density of states at the Fermi level, states/eV per cell: 5.766

Below is a geometry-optimized Sm2NpRu3 structure, with properties calculated at the PBE level.

Cell and atoms, written as POSCAR:
```
Sm2NpRu3
1.0
-2.6305 5.1271 1.2266
-2.8991 -5.0653 0.8057
2.7560 -0.3828 7.5101
Sm Np Ru
4 2 6
Direct
0.6667 0.3333 0.4415 Sm
0.3333 0.6667 0.5585 Sm
0.3333 0.6667 0.9415 Sm
0.6667 0.3333 0.0585 Sm
0.0000 0.0000 0.5000 Np
0.0000 0.0000 0.0000 Np
0.1638 0.3277 0.2500 Ru
0.3277 0.1638 0.7500 Ru
0.8362 0.6723 0.7500 Ru
0.1638 0.8362 0.2500 Ru
0.8362 0.1638 0.7500 Ru
0.6723 0.8362 0.2500 Ru
```

Crystal system: hexagonal
Space-group type: P6_3/mmc
Density of states at the Fermi level, states/eV per cell: 11.984
Energy relative to the elements, eV per atom: -0.33

Below is a geometry-optimized RbTl6Pd2 structure, with properties calculated at the PBE level.

Cell and atoms, written as POSCAR:
```
RbTl6Pd2
1.0
-5.0621 7.8269 -2.8329
-7.6684 -1.0386 -5.9184
-9.0112 1.4657 3.4001
Rb Tl Pd
2 12 4
Direct
0.5000 0.5000 0.5000 Rb
0.7500 0.7500 0.7500 Rb
0.2229 0.2229 0.7771 Tl
0.7771 0.7771 0.2229 Tl
0.2229 0.7771 0.2229 Tl
0.2229 0.7771 0.7771 Tl
0.4729 0.4729 0.0271 Tl
0.4729 0.0271 0.0271 Tl
0.7771 0.2229 0.7771 Tl
0.0271 0.0271 0.4729 Tl
0.4729 0.0271 0.4729 Tl
0.0271 0.4729 0.4729 Tl
0.7771 0.2229 0.2229 Tl
0.0271 0.4729 0.0271 Tl
0.1250 0.1250 0.1250 Pd
0.1250 0.6250 0.1250 Pd
0.1250 0.1250 0.6250 Pd
0.6250 0.1250 0.1250 Pd
```

Crystal system: cubic
Space-group type: Fd-3m
Excess energy over the best structure of this formula in the dataset, meV/atom: 92
Density of states at the Fermi level, states/eV per cell: 15.902
Energy relative to the elements, eV per atom: 0.05

Copy entry 3 word for word.
Below is a geometry-optimized RbTl6Pd2 structure, with properties calculated at the PBE level.

Cell and atoms, written as POSCAR:
```
RbTl6Pd2
1.0
-5.0621 7.8269 -2.8329
-7.6684 -1.0386 -5.9184
-9.0112 1.4657 3.4001
Rb Tl Pd
2 12 4
Direct
0.5000 0.5000 0.5000 Rb
0.7500 0.7500 0.7500 Rb
0.2229 0.2229 0.7771 Tl
0.7771 0.7771 0.2229 Tl
0.2229 0.7771 0.2229 Tl
0.2229 0.7771 0.7771 Tl
0.4729 0.4729 0.0271 Tl
0.4729 0.0271 0.0271 Tl
0.7771 0.2229 0.7771 Tl
0.0271 0.0271 0.4729 Tl
0.4729 0.0271 0.4729 Tl
0.0271 0.4729 0.4729 Tl
0.7771 0.2229 0.2229 Tl
0.0271 0.4729 0.0271 Tl
0.1250 0.1250 0.1250 Pd
0.1250 0.6250 0.1250 Pd
0.1250 0.1250 0.6250 Pd
0.6250 0.1250 0.1250 Pd
```

Crystal system: cubic
Space-group type: Fd-3m
Excess energy over the best structure of this formula in the dataset, meV/atom: 92
Density of states at the Fermi level, states/eV per cell: 15.902
Energy relative to the elements, eV per atom: 0.05